# 1
Material: HAuN
Method: DFT, GGA-PBE
State: optimized geometry

Values from the calculation:
Excess energy over the best structure of this formula in the dataset (eV/f.u.): 0.00
Total moment (μB per formula unit): 0.00
Total energy (eV for the cell shown): -13.2

Cell lengths 3.036, 3.444, 3.898 Å; angles 88.69, 67.34, 89.52 degrees
Space group P1 (No. 1)
Unique sites:
H1 0.000 0.000 0.000 x1
Au1 0.291 0.631 0.433 x1
N1 0.998 0.699 0.008 x1

---

# 2
Material: CdInRh
Method: DFT, GGA-PBE
State: optimized geometry

Values from the calculation:
Total moment (μB per formula unit): 0.00
Energy of formation from the pure elements (eV/atom): -0.09
Total energy (eV for the cell shown): -11.3

Cell lengths 4.5724, 4.5724, 3.1423 Å; angles 90.00, 90.00, 120.00 degrees
Space group P3m1 (No. 156)
Unique sites:
Cd1 0.0000 0.0000 0.0000 x1
In1 0.6667 0.3333 0.4151 x1
Rh1 0.3333 0.6667 0.5764 x1

---

# 3
Material: La2Al3PdAu4
Method: DFT, GGA-PBE
State: optimized geometry

Values from the calculation:
Total moment (μB per formula unit): 0.00
Energy of formation from the pure elements (eV/atom): -0.71
Total energy (eV for the cell shown): -46.4

Cell lengths 4.414, 4.414, 10.916 Å; angles 90.00, 90.00, 90.00 degrees
Space group P-4m2 (No. 115)
Unique sites:
La1 0.000 0.500 0.245 x2
Al1 0.000 0.000 0.000 x1
Al2 0.000 0.500 0.624 x2
Pd1 0.500 0.500 0.000 x1
Au1 0.000 0.000 0.500 x1
Au2 0.000 0.500 0.854 x2
Au3 0.500 0.500 0.500 x1

---

# 4
Material: KMgS2N
Method: DFT, GGA-PBE
State: optimized geometry

Values from the calculation:
Excess energy over the best structure of this formula in the dataset (eV/f.u.): 5.58
Total moment (μB per formula unit): 4.03
Total energy (eV for the cell shown): -12.7
Uncorrected formation energy (eV/atom): 1.31

Cell lengths 5.530, 5.530, 4.740 Å; angles 90.00, 90.00, 90.00 degrees
Space group P4/mmm (No. 123)
Unique sites:
K1 0.000 0.000 0.000 x1
Mg1 0.500 0.500 0.500 x1
S1 0.000 0.500 0.000 x2
N1 0.000 0.000 0.500 x1

---

# 5
Material: LaTbZnAu
Method: DFT, GGA-PBE
State: optimized geometry

Values from the calculation:
Excess energy over the best structure of this formula in the dataset (eV/f.u.): 0.00
Total moment (μB per formula unit): 0.00
Energy of formation from the pure elements (eV/atom): -0.57
Total energy (eV for the cell shown): -16.4

Cell lengths 3.683, 3.683, 7.384 Å; angles 90.00, 90.00, 90.00 degrees
Space group P4mm (No. 99)
Unique sites:
La1 0.000 0.000 0.000 x1
Tb1 0.000 0.000 0.498 x1
Zn1 0.500 0.500 0.268 x1
Au1 0.500 0.500 0.717 x1

---

# 6
Material: La12Tb5Sm2
Method: DFT, GGA-PBE
State: optimized geometry

Values from the calculation:
Excess energy over the best structure of this formula in the dataset (eV/f.u.): 0.62
Total moment (μB per formula unit): 0.00
Energy of formation from the pure elements (eV/atom): 0.15
Total energy (eV for the cell shown): -177.7

Cell lengths 19.605, 7.654, 10.108 Å; angles 90.00, 117.71, 90.00 degrees
Space group C2/m (No. 12)
Unique sites:
La1 0.001 0.000 0.207 x4
La2 0.016 0.500 0.359 x4
La3 0.160 0.249 0.845 x8
La4 0.164 0.231 0.493 x8
Tb1 0.000 0.000 0.500 x2
Tb2 0.176 0.000 0.170 x4
Tb3 0.180 0.500 0.193 x4
Sm1 0.000 0.301 0.000 x4